1.
# PBE Sr2Te4Rh, optimized geometry
data_Sr2Te4Rh
_chemical_formula_sum 'Sr2 Te4 Rh1'
_symmetry_space_group_name_H-M 'P 1'
_symmetry_Int_Tables_number 1
_cell_length_a 5.2949
_cell_length_b 5.2949
_cell_length_c 9.0822
_cell_angle_alpha 73.05
_cell_angle_beta 73.05
_cell_angle_gamma 90.00
loop_
_symmetry_equiv_pos_as_xyz
'x,y,z'
loop_
_atom_site_label
_atom_site_type_symbol
_atom_site_fract_x
_atom_site_fract_y
_atom_site_fract_z
Sr1 Sr 0.3626 0.3626 0.2748
Sr2 Sr 0.6374 0.6374 0.7252
Te1 Te 0.1647 0.1647 0.6706
Te2 Te 0.8353 0.8353 0.3294
Te3 Te 0.0000 0.5000 0.0000
Te4 Te 0.5000 0.0000 0.0000
Rh1 Rh 0.0000 0.0000 0.0000
# mass density = 5.6 g cm⁻³
# ΔE_f (raw) = -0.8105 eV per atom
# DFT total energy = -28.955 eV per cell
# space-group type = I4/mmm (139)

***

2.
# PBE CuGe2P3, optimized geometry
data_CuGe2P3
_chemical_formula_sum 'Cu2 Ge4 P6'
_symmetry_space_group_name_H-M 'P 1'
_symmetry_Int_Tables_number 1
_cell_length_a 9.8262
_cell_length_b 9.8262
_cell_length_c 6.6763
_cell_angle_alpha 84.81
_cell_angle_beta 84.81
_cell_angle_gamma 21.65
loop_
_symmetry_equiv_pos_as_xyz
'x,y,z'
loop_
_atom_site_label
_atom_site_type_symbol
_atom_site_fract_x
_atom_site_fract_y
_atom_site_fract_z
Cu1 Cu 0.4036 0.4036 0.8897
Cu2 Cu 0.2574 0.2574 0.2503
Ge1 Ge 0.9226 0.9226 0.3780
Ge2 Ge 0.5976 0.5976 0.1126
Ge3 Ge 0.7576 0.7576 0.7570
Ge4 Ge 0.0949 0.0949 0.6263
P1 P 0.3768 0.3768 0.2195
P2 P 0.7198 0.7198 0.1010
P3 P 0.8805 0.8805 0.7245
P4 P 0.0405 0.0405 0.9674
P5 P 0.2178 0.2178 0.5783
P6 P 0.5435 0.5435 0.4582
# mass density = 4.2 g cm⁻³
# DFT total energy = -58.967 eV per cell
# space-group type = Cm (8)